Computed, not measured: crystalline CaPmCd14 at its relaxed geometry at the PBE-GGA level of DFT.

Values from the calculation:
Total moment, Bohr magnetons per cell: 0.00
DOS at the Fermi energy, states/eV per atom: 0.288
ΔE_f, meV/atom: -142
Symmetry: No. 123
Calculated density, g/cm3: 7.71

abc: 6.6590 6.6590 8.5474
angles: 90.00 90.00 90.00
Atoms (fractional coordinates):
Ca  0.0000  0.0000  0.0000
Pm  0.5000  0.5000  0.0000
Cd  0.0000  0.0000  0.5000
Cd  0.0000  0.5000  0.0000
Cd  0.0000  0.5000  0.5000
Cd  0.2493  0.2493  0.2623
Cd  0.2493  0.2493  0.7377
Cd  0.2493  0.7507  0.2623
Cd  0.2493  0.7507  0.7377
Cd  0.5000  0.0000  0.0000
Cd  0.5000  0.0000  0.5000
Cd  0.5000  0.5000  0.5000
Cd  0.7507  0.2493  0.2623
Cd  0.7507  0.2493  0.7377
Cd  0.7507  0.7507  0.2623
Cd  0.7507  0.7507  0.7377